Entry 1:
Ca2RuCl: relaxed, PBE.

abc: 6.6574 6.6574 6.6574
angles: 144.79 144.79 50.64
Last column: magnetic moment on the atom in μB.
Fractional positions:
1 Ca 0.0000 0.0000 0.0000  -0.03
2 Cl 0.5000 0.5000 0.0000  0.02
3 Ru 0.7500 0.2500 0.5000  0.94
4 Ca 0.2500 0.7500 0.5000  -0.02

Output
**N(E_F)**: 6.026 states/eV/cell
**Crystal system**: tetragonal
**E_tot**: -3.939 eV per atom
**Energy relative to the elements, uncorrected**: -0.63 eV per formula unit

=====

Entry 2:
TbNd2Pd9: relaxed, PBE.

abc: 4.1848 4.1848 12.5182
angles: 90.00 90.00 90.00
Fractional positions:
1 Pd 0.5000 0.0000 0.1622
2 Nd 0.0000 0.0000 0.3306
3 Pd 0.5000 0.0000 0.8378
4 Nd 0.0000 0.0000 0.6694
5 Pd 0.0000 0.5000 0.5000
6 Pd 0.5000 0.5000 0.0000
7 Pd 0.5000 0.0000 0.5000
8 Pd 0.5000 0.5000 0.6680
9 Pd 0.5000 0.5000 0.3320
10 Pd 0.0000 0.5000 0.8378
11 Pd 0.0000 0.5000 0.1622
12 Tb 0.0000 0.0000 0.0000

Output
**N(E_F)**: 8.356 states/eV/cell
**Crystal system**: tetragonal
**E_tot**: -5.870 eV per atom

=====

Entry 3:
AlZnMo: relaxed, PBE.

abc: 6.7856 6.6372 2.7316
angles: 81.32 75.23 23.45
Fractional positions:
1 Mo 0.3352 0.3352 0.6648
2 Zn 0.6669 0.6669 0.3331
3 Al 0.9979 0.9979 0.0021

Output
**N(E_F)**: 2.784 states/eV/cell
**Crystal system**: orthorhombic
**E_tot**: -5.211 eV per atom

=====

Entry 4:
Tc2BSe: relaxed, PBE.

abc: 5.2454 5.2454 6.1448
angles: 64.73 64.73 90.00
Last column: magnetic moment on the atom in μB.
Fractional positions:
1 Tc 0.1847 0.6250 0.2500  0.58
2 Se 0.7500 0.2500 0.5000  -0.02
3 B 0.2500 0.7500 0.5000  -0.02
4 Tc 0.5653 0.1250 0.2500  0.58
5 Tc 0.3750 0.4347 0.7500  0.51
6 B 0.5000 0.5000 0.0000  -0.02
7 Se 0.0000 0.0000 0.0000  -0.02
8 Tc 0.8750 0.8153 0.7500  0.57

Output
**N(E_F)**: 6.101 states/eV/cell
**Crystal system**: tetragonal
**E_tot**: -7.238 eV per atom
**Energy relative to the elements, uncorrected**: 1.94 eV per formula unit

=====

Entry 5:
NbTl3Ge: relaxed, PBE.

abc: 5.4910 5.4910 5.4910
angles: 90.00 90.00 90.00
Last column: magnetic moment on the atom in μB.
Fractional positions:
1 Nb 0.0000 0.0000 0.0000  0.17
2 Tl 0.5000 0.0000 0.0000  0.00
3 Ge 0.5000 0.5000 0.5000  -0.12
4 Tl 0.0000 0.5000 0.0000  0.01
5 Tl 0.0000 0.0000 0.5000  0.01

Output
**N(E_F)**: 4.856 states/eV/cell
**Crystal system**: cubic
**E_tot**: -3.479 eV per atom

=====

Entry 6:
CsAl3Au6: relaxed, PBE.

abc: 6.8437 9.7979 9.9898
angles: 128.85 90.00 90.00
Fractional positions:
1 Al 0.6561 0.3355 0.0204
2 Al 0.5000 0.0000 0.5000
3 Au 0.3608 0.2990 0.7571
4 Al 0.8439 0.8355 0.5204
5 Cs 0.5000 0.5000 0.5000
6 Au 0.1392 0.7990 0.2571
7 Au 0.8608 0.2010 0.7429
8 Au 0.6830 0.5378 0.8798
9 Au 0.1830 0.9622 0.6202
10 Au 0.5624 0.0047 0.7617
11 Au 0.4376 0.9953 0.2383
12 Au 0.0624 0.4953 0.7383
13 Cs 0.0000 0.0000 0.0000
14 Au 0.6392 0.7010 0.2429
15 Al 0.0000 0.5000 0.0000
16 Au 0.8170 0.0378 0.3798
17 Au 0.9376 0.5047 0.2617
18 Au 0.3170 0.4622 0.1202
19 Al 0.3439 0.6645 0.9796
20 Al 0.1561 0.1645 0.4796

Output
**N(E_F)**: 6.998 states/eV/cell
**Crystal system**: monoclinic
**E_tot**: -3.329 eV per atom